Entry 1:
LaSbAs2 after structural relaxation, computed with GGA-PBE.

Results
Volume in A^3/atom: 24.74
D(E_F) in states/eV/atom: 0.267
Total energy in eV/atom: -5.089
Symmetry: No. 123

abc: 3.9661 3.9660 6.2924
angles: 90.00 90.00 90.00
With the nearest neighbours (Å) after each atom.
Fractional coordinates of all 4 atoms:
Sb (0.5000, 0.5000, 0.7500)  2 La 3.15, 8 As 3.23
As (0.0000, 0.0000, 0.4959)  2 As 3.09-3.20, 4 La 3.20, 4 Sb 3.23
As (0.0000, 0.0000, 0.0041)  2 As 3.09-3.20, 4 La 3.20, 4 Sb 3.23
La (0.5000, 0.5000, 0.2500)  2 Sb 3.15, 8 As 3.20

***

Entry 2:
Li8Sb2As after structural relaxation, computed with GGA-PBE.

Results
Volume in A^3/atom: 17.91
D(E_F) in states/eV/atom: 0.356
Total energy in eV/atom: -3.176
Symmetry: No. 71
Polymorph energy (0 for the lowest one) in meV/atom: 0

abc: 4.5389 6.3795 7.8509
angles: 113.98 106.80 90.00
With the nearest neighbours (Å) after each atom.
Fractional coordinates of all 11 atoms:
Li (0.3549, 0.5982, 0.7099)  1 As 2.56, 2 Sb 2.79, 3 Li 2.83-2.86
Li (0.0000, 0.7505, 0.0000)  2 As 2.77, 2 Sb 2.90, 6 Li 2.90-3.01
As (0.5000, 0.0000, 0.0000)  8 Li 2.56-2.77
Li (0.1785, 0.1788, 0.3570)  8 Li 2.83-2.90, 2 Sb 3.00
Li (0.6451, 0.4018, 0.2901)  1 As 2.56, 2 Sb 2.79, 3 Li 2.83-2.86
Li (0.8215, 0.8212, 0.6430)  8 Li 2.83-2.90, 2 Sb 3.00
Li (0.3550, 0.1117, 0.7100)  1 As 2.56, 2 Sb 2.79, 3 Li 2.84-2.86
Li (0.0000, 0.2495, 0.0000)  2 As 2.77, 2 Sb 2.90, 6 Li 2.90-3.01
Sb (0.1778, 0.6779, 0.3557)  10 Li 2.79-3.00
Sb (0.8222, 0.3221, 0.6443)  10 Li 2.79-3.00
Li (0.6450, 0.8883, 0.2900)  1 As 2.56, 2 Sb 2.79, 3 Li 2.84-2.86

***

Entry 3:
LaTaCr4 after structural relaxation, computed with GGA-PBE.

Results
Volume in A^3/atom: 15.65
D(E_F) in states/eV/atom: 1.353
Total energy in eV/atom: -8.780
Symmetry: No. 216
Formation energy in eV/f.u.: 2.595

abc: 5.1019 5.1019 5.1019
angles: 60.00 60.00 60.00
With the nearest neighbours (Å) after each atom.
Fractional coordinates of all 6 atoms:
Ta (0.0000, 0.0000, 0.0000)  12 Cr 2.99, 4 La 3.12
Cr (0.3743, 0.3743, 0.3743)  6 Cr 2.54-2.56
La (0.7500, 0.7500, 0.7500)  12 Cr 2.99, 4 Ta 3.12
Cr (0.8770, 0.3743, 0.3743)  6 Cr 2.54-2.56
Cr (0.3743, 0.3743, 0.8770)  6 Cr 2.54-2.56
Cr (0.3743, 0.8770, 0.3743)  6 Cr 2.54-2.56

***

Entry 4:
AgRuOF2 after structural relaxation, computed with GGA-PBE.

Results
Volume in A^3/atom: 13.96
D(E_F) in states/eV/atom: 0.514
Total energy in eV/atom: -5.029
Symmetry: No. 123
Polymorph energy (0 for the lowest one) in meV/atom: 0

abc: 4.3285 4.3285 3.7266
angles: 90.00 90.00 90.00
With the nearest neighbours (Å) after each atom.
Fractional coordinates of all 5 atoms:
Ru (0.0000, 0.0000, 0.0000)  2 O 1.86
Ag (0.5000, 0.5000, 0.5000)  8 F 2.86, 4 O 3.06
O (0.0000, 0.0000, 0.5000)  2 Ru 1.86
F (0.0000, 0.5000, 0.0000)  2 Ru 2.16
F (0.5000, 0.0000, 0.0000)  2 Ru 2.16

***

Entry 5:
CaHgPO2 after structural relaxation, computed with GGA-PBE.

Results
Volume in A^3/atom: 18.49
D(E_F) in states/eV/atom: 0.663
Total energy in eV/atom: -3.652
Symmetry: No. 123
Polymorph energy (0 for the lowest one) in meV/atom: 0

abc: 4.3432 4.3432 4.9002
angles: 90.00 90.00 90.00
With the nearest neighbours (Å) after each atom.
Fractional coordinates of all 5 atoms:
Hg (0.0000, 0.0000, 0.0000)  4 O 2.17
O (0.5000, 0.0000, 0.0000)  2 Hg 2.17
O (0.0000, 0.5000, 0.0000)  2 Hg 2.17
P (0.0000, 0.0000, 0.5000)  2 Hg 2.45
Ca (0.5000, 0.5000, 0.5000)  4 P 3.07, 8 O 3.27

***

Entry 6:
K3Sm2ZrSe6 after structural relaxation, computed with GGA-PBE.

Results
Volume in A^3/atom: 29.08
D(E_F) in states/eV/atom: 0.391
Total energy in eV/atom: -5.106
Symmetry: No. 12

abc: 7.2193 7.2193 8.0998
angles: 98.58 98.58 120.01
With the nearest neighbours (Å) after each atom.
Fractional coordinates of all 12 atoms:
Se (0.7538, 0.7538, 0.2081)  1 Zr 2.79, 2 Sm 2.95
K (0.5000, 0.5000, 0.5000)  6 Se 3.26-3.40
Zr (0.0000, 0.0000, 0.0000)  6 Se 2.79
Se (0.9309, 0.6146, 0.7928)  1 Zr 2.79, 2 Sm 2.95
Sm (0.6662, 0.3338, 0.0000)  6 Se 2.95
Sm (0.3338, 0.6662, 0.0000)  6 Se 2.95
K (0.1705, 0.8295, 0.5000)  6 Se 3.26-3.36
Se (0.0691, 0.3854, 0.2072)  1 Zr 2.79, 2 Sm 2.95
K (0.8295, 0.1705, 0.5000)  6 Se 3.26-3.36
Se (0.6146, 0.9309, 0.7928)  1 Zr 2.79, 2 Sm 2.95
Se (0.3854, 0.0691, 0.2072)  1 Zr 2.79, 2 Sm 2.95
Se (0.2462, 0.2462, 0.7919)  1 Zr 2.79, 2 Sm 2.95

***

Entry 7:
Pm2ScReO8 after structural relaxation, computed with GGA-PBE.

Results
Volume in A^3/atom: 14.56
D(E_F) in states/eV/atom: 0.000
Total energy in eV/atom: -8.322
Symmetry: No. 65

abc: 5.0829 5.0807 6.7684
angles: 90.00 90.00 92.14
With the nearest neighbours (Å) after each atom.
Fractional coordinates of all 12 atoms:
Pm (0.5001, 0.5000, 0.2524)  6 O 2.26-2.40
O (0.1742, 0.8247, 0.7893)  1 Re 1.92
O (0.8258, 0.1753, 0.2107)  1 Re 1.92
O (0.1743, 0.8246, 0.2106)  1 Re 1.92
O (0.2859, 0.2851, 0.5000)  1 Sc 2.01
Sc (0.0000, 0.0000, 0.5000)  2 O 2.01
O (0.7141, 0.7149, 0.5000)  1 Sc 2.01
O (0.2685, 0.2672, 0.0000)  1 Re 1.89
Pm (0.4999, 0.5000, 0.7476)  6 O 2.26-2.40
O (0.7315, 0.7328, 0.0000)  1 Re 1.89
Re (0.0000, 0.0000, 0.0000)  6 O 1.89-1.92
O (0.8257, 0.1754, 0.7894)  1 Re 1.92

***

Entry 8:
Co3Ge7 after structural relaxation, computed with GGA-PBE.

Results
Volume in A^3/atom: 14.90
D(E_F) in states/eV/atom: 0.397
Total energy in eV/atom: -5.493
Symmetry: No. 229
Formation energy in eV/f.u.: -1.288

abc: 7.2884 7.2884 7.2884
angles: 109.47 109.47 109.47
With the nearest neighbours (Å) after each atom.
Fractional coordinates of all 20 atoms:
Co (0.6557, 0.6557, 0.0000)  8 Ge 2.47-2.48, 1 Co 2.62
Co (0.3443, 0.0000, 0.3443)  8 Ge 2.47-2.48, 1 Co 2.62
Co (0.6557, 0.0000, 0.6557)  8 Ge 2.47-2.48, 1 Co 2.62
Ge (0.2500, 0.7500, 0.5000)  4 Co 2.48
Ge (0.0000, 0.6710, 0.0000)  3 Co 2.47, 4 Ge 2.49-2.77
Ge (0.3290, 0.3290, 0.3290)  3 Co 2.47, 4 Ge 2.49-2.77
Co (0.0000, 0.3443, 0.3443)  8 Ge 2.47-2.48, 1 Co 2.62
Co (0.3443, 0.3443, 0.0000)  8 Ge 2.47-2.48, 1 Co 2.62
Co (0.0000, 0.6557, 0.6557)  8 Ge 2.47-2.48, 1 Co 2.62
Ge (0.5000, 0.7500, 0.2500)  4 Co 2.48
Ge (0.5000, 0.2500, 0.7500)  4 Co 2.48
Ge (0.7500, 0.5000, 0.2500)  4 Co 2.48
Ge (0.6710, 0.0000, 0.0000)  3 Co 2.47, 4 Ge 2.49-2.77
Ge (0.3290, 0.0000, 0.0000)  3 Co 2.47, 4 Ge 2.49-2.77
Ge (0.7500, 0.2500, 0.5000)  4 Co 2.48
Ge (0.0000, 0.0000, 0.3290)  3 Co 2.47, 4 Ge 2.49-2.77
Ge (0.2500, 0.5000, 0.7500)  4 Co 2.48
Ge (0.0000, 0.3290, 0.0000)  3 Co 2.47, 4 Ge 2.49-2.77
Ge (0.6710, 0.6710, 0.6710)  3 Co 2.47, 4 Ge 2.49-2.77
Ge (0.0000, 0.0000, 0.6710)  3 Co 2.47, 4 Ge 2.49-2.77

***

Entry 9:
ZrHg2As after structural relaxation, computed with GGA-PBE.

Results
Volume in A^3/atom: 22.71
D(E_F) in states/eV/atom: 0.636
Total energy in eV/atom: -3.496
Symmetry: No. 122
Formation energy in eV/f.u.: -0.182

abc: 8.0770 8.0770 6.3540
angles: 50.54 50.54 90.00
With the nearest neighbours (Å) after each atom.
Fractional coordinates of all 8 atoms:
Zr (0.0000, 0.0000, 0.0000)  2 As 2.78, 4 Hg 3.03
As (0.2500, 0.7500, 0.5000)  2 Zr 2.78, 4 Hg 2.86
Hg (0.1403, 0.6250, 0.2500)  2 Hg 2.80, 2 As 2.86, 2 Zr 3.03
Hg (0.8750, 0.8597, 0.7500)  2 Hg 2.80, 2 As 2.86, 2 Zr 3.03
Zr (0.7500, 0.2500, 0.5000)  2 As 2.78, 4 Hg 3.03
As (0.5000, 0.5000, 0.0000)  2 Zr 2.78, 4 Hg 2.86
Hg (0.6097, 0.1250, 0.2500)  2 Hg 2.80, 2 As 2.86, 2 Zr 3.03
Hg (0.3750, 0.3903, 0.7500)  2 Hg 2.80, 2 As 2.86, 2 Zr 3.03

***

Entry 10:
In3PdCl after structural relaxation, computed with GGA-PBE.

Results
Volume in A^3/atom: 28.41
D(E_F) in states/eV/atom: 0.098
Total energy in eV/atom: -3.523
Symmetry: No. 221
Polymorph energy (0 for the lowest one) in meV/atom: 0

abc: 5.2175 5.2175 5.2175
angles: 90.00 90.00 90.00
With the nearest neighbours (Å) after each atom.
Fractional coordinates of all 5 atoms:
In (0.0000, 0.0000, 0.5000)  2 Pd 2.61
In (0.5000, 0.0000, 0.0000)  2 Pd 2.61
In (0.0000, 0.5000, 0.0000)  2 Pd 2.61
Pd (0.0000, 0.0000, 0.0000)  6 In 2.61
Cl (0.5000, 0.5000, 0.5000)  12 In 3.69

***

Entry 11:
NaLiInPb after structural relaxation, computed with GGA-PBE.

Results
Volume in A^3/atom: 24.15
D(E_F) in states/eV/atom: 0.700
Total energy in eV/atom: -2.561
Symmetry: No. 216
Formation energy in eV/f.u.: -0.565
Polymorph energy (0 for the lowest one) in meV/atom: 39

abc: 5.1501 5.1501 5.1501
angles: 60.00 60.00 60.00
With the nearest neighbours (Å) after each atom.
Fractional coordinates of all 4 atoms:
In (0.2500, 0.2500, 0.2500)  4 Na 3.15, 4 Li 3.15
Li (0.0000, 0.0000, 0.0000)  4 Pb 3.15, 4 In 3.15
Na (0.5000, 0.5000, 0.5000)  4 In 3.15, 4 Pb 3.15
Pb (0.7500, 0.7500, 0.7500)  4 Li 3.15, 4 Na 3.15

***

Entry 12:
Tc3AgMo after structural relaxation, computed with GGA-PBE.

Results
Volume in A^3/atom: 20.17
D(E_F) in states/eV/atom: 2.144
Total energy in eV/atom: -6.206
Symmetry: No. 221
Formation energy in eV/f.u.: 13.750
Polymorph energy (0 for the lowest one) in meV/atom: 1054

abc: 4.6550 4.6550 4.6550
angles: 90.00 90.00 90.00
With the nearest neighbours (Å) after each atom.
Fractional coordinates of all 5 atoms:
Tc (0.0000, 0.5000, 0.0000)  2 Ag 2.33
Mo (0.5000, 0.5000, 0.5000)  12 Tc 3.29
Ag (0.0000, 0.0000, 0.0000)  6 Tc 2.33
Tc (0.0000, 0.0000, 0.5000)  2 Ag 2.33
Tc (0.5000, 0.0000, 0.0000)  2 Ag 2.33

***

Entry 13:
Na3VBr6 after structural relaxation, computed with GGA-PBE.

Results
Volume in A^3/atom: 30.12
D(E_F) in states/eV/atom: 1.025
Total energy in eV/atom: -3.559
Symmetry: No. 148
Polymorph energy (0 for the lowest one) in meV/atom: 0

abc: 8.4466 8.4466 8.4466
angles: 90.71 90.71 90.71
With the nearest neighbours (Å) after each atom.
Fractional coordinates of all 20 atoms:
Br (0.4514, 0.5682, 0.7919)  1 V 2.56
Br (0.4318, 0.2081, 0.5486)  1 V 2.56
Na (0.0849, 0.2455, 0.5728)  6 Br 2.96-3.07
Na (0.5728, 0.0849, 0.2455)  6 Br 2.96-3.07
Na (0.4272, 0.9151, 0.7545)  6 Br 2.96-3.07
Br (0.9345, 0.0809, 0.2863)  1 V 2.57
Br (0.7919, 0.4514, 0.5682)  1 V 2.56
Br (0.5682, 0.7919, 0.4514)  1 V 2.56
Br (0.0655, 0.9191, 0.7137)  1 V 2.57
V (0.5000, 0.5000, 0.5000)  6 Br 2.56
Na (0.7545, 0.4272, 0.9151)  6 Br 2.96-3.07
V (0.0000, 0.0000, 0.0000)  6 Br 2.57
Br (0.7137, 0.0655, 0.9191)  1 V 2.57
Br (0.0809, 0.2863, 0.9345)  1 V 2.57
Na (0.9151, 0.7545, 0.4272)  6 Br 2.96-3.07
Br (0.2863, 0.9345, 0.0809)  1 V 2.57
Br (0.5486, 0.4318, 0.2081)  1 V 2.56
Br (0.9191, 0.7137, 0.0655)  1 V 2.57
Na (0.2455, 0.5728, 0.0849)  6 Br 2.96-3.07
Br (0.2081, 0.5486, 0.4318)  1 V 2.56

***

Entry 14:
La2NdGa after structural relaxation, computed with GGA-PBE.

Results
Volume in A^3/atom: 29.61
D(E_F) in states/eV/atom: 1.378
Total energy in eV/atom: -4.667
Symmetry: No. 123
Formation energy in eV/f.u.: -1.019
Polymorph energy (0 for the lowest one) in meV/atom: 2

abc: 4.9811 4.8762 4.8762
angles: 90.00 90.00 90.00
With the nearest neighbours (Å) after each atom.
Fractional coordinates of all 4 atoms:
Ga (0.5000, 0.5000, 0.5000)  4 Nd 3.45, 8 La 3.49
La (0.0000, 0.5000, 0.0000)  4 La 3.45, 4 Nd 3.49, 4 Ga 3.49
Nd (0.5000, 0.0000, 0.0000)  4 Ga 3.45, 8 La 3.49
La (0.0000, 0.0000, 0.5000)  4 La 3.45, 4 Nd 3.49, 4 Ga 3.49

***

Entry 15:
CaLaTbLu after structural relaxation, computed with GGA-PBE.

Results
Volume in A^3/atom: 34.58
D(E_F) in states/eV/atom: 1.618
Total energy in eV/atom: -3.898
Symmetry: No. 216
Formation energy in eV/f.u.: 0.490

abc: 5.8049 5.8049 5.8049
angles: 60.00 60.00 60.00
With the nearest neighbours (Å) after each atom.
Fractional coordinates of all 4 atoms:
Tb (0.5000, 0.5000, 0.5000)  4 Lu 3.55, 4 Ca 3.55
Ca (0.2500, 0.2500, 0.2500)  4 Tb 3.55, 4 La 3.55
Lu (0.7500, 0.7500, 0.7500)  4 La 3.55, 4 Tb 3.55
La (0.0000, 0.0000, 0.0000)  4 Ca 3.55, 4 Lu 3.55

***

Entry 16:
SmHo4Th after structural relaxation, computed with GGA-PBE.

Results
Volume in A^3/atom: 31.66
D(E_F) in states/eV/atom: 1.384
Total energy in eV/atom: -5.053
Symmetry: No. 12
Formation energy in eV/f.u.: 0.135
Polymorph energy (0 for the lowest one) in meV/atom: 0

abc: 3.5616 9.3602 15.3539
angles: 155.35 89.98 100.97
With the nearest neighbours (Å) after each atom.
Fractional coordinates of all 6 atoms:
Ho (0.1730, 0.3465, 0.5091)  2 Th 3.50, 8 Ho 3.50-3.65, 2 Sm 3.54
Sm (0.5000, 0.0000, 0.5000)  8 Ho 3.54-3.56, 2 Sm 3.56, 2 Th 3.57
Ho (0.3387, 0.6766, 0.0048)  8 Ho 3.50-3.65, 2 Th 3.52, 2 Sm 3.56
Th (0.0000, 0.9999, 0.0000)  8 Ho 3.50-3.52, 2 Th 3.56, 2 Sm 3.57
Ho (0.8270, 0.6536, 0.4909)  2 Th 3.50, 8 Ho 3.50-3.65, 2 Sm 3.54
Ho (0.6612, 0.3233, 0.9952)  8 Ho 3.50-3.65, 2 Th 3.52, 2 Sm 3.56

***

Entry 17:
TbDy5Hg4 after structural relaxation, computed with GGA-PBE.

Results
Volume in A^3/atom: 27.17
D(E_F) in states/eV/atom: 1.188
Total energy in eV/atom: -3.255
Symmetry: No. 123
Formation energy in eV/f.u.: -3.699

abc: 3.6788 3.6788 20.0737
angles: 90.00 90.00 90.00
With the nearest neighbours (Å) after each atom.
Fractional coordinates of all 10 atoms:
Dy (0.5000, 0.5000, 0.5000)  8 Hg 3.22
Hg (0.0000, 0.0000, 0.2150)  8 Dy 3.20-3.25
Tb (0.0000, 0.0000, 0.0000)  8 Dy 3.58, 4 Tb 3.68
Dy (0.5000, 0.5000, 0.1225)  4 Hg 3.20
Dy (0.5000, 0.5000, 0.6882)  8 Hg 3.21-3.25
Dy (0.5000, 0.5000, 0.8775)  4 Hg 3.20
Hg (0.0000, 0.0000, 0.4052)  8 Dy 3.21-3.22
Hg (0.0000, 0.0000, 0.5948)  8 Dy 3.21-3.22
Dy (0.5000, 0.5000, 0.3118)  8 Hg 3.21-3.25
Hg (0.0000, 0.0000, 0.7850)  8 Dy 3.20-3.25

***

Entry 18:
SrCuSb2 after structural relaxation, computed with GGA-PBE.

Results
Volume in A^3/atom: 25.72
D(E_F) in states/eV/atom: 0.618
Total energy in eV/atom: -3.717
Symmetry: No. 123

abc: 4.7827 4.7827 4.4976
angles: 90.00 90.00 90.03
With the nearest neighbours (Å) after each atom.
Fractional coordinates of all 4 atoms:
Cu (0.0000, 0.5000, 0.5000)  8 Sb 3.28, 4 Sr 3.38
Sb (0.5000, 0.5000, 0.0000)  4 Cu 3.28, 4 Sr 3.28, 4 Sb 3.38
Sr (0.5000, 0.0000, 0.5000)  8 Sb 3.28, 4 Cu 3.38
Sb (0.0000, 0.0000, 0.0000)  4 Sr 3.28, 4 Cu 3.28, 4 Sb 3.38

***

Entry 19:
BeReP after structural relaxation, computed with GGA-PBE.

Results
Volume in A^3/atom: 11.46
D(E_F) in states/eV/atom: 0.075
Total energy in eV/atom: -7.598
Symmetry: No. 107
Formation energy in eV/f.u.: -1.210
Polymorph energy (0 for the lowest one) in meV/atom: 0

abc: 4.3171 4.3171 4.3171
angles: 138.92 138.92 59.49
With the nearest neighbours (Å) after each atom.
Fractional coordinates of all 3 atoms:
Re (0.6695, 0.6695, 0.0000)  5 Be 2.46-2.50, 5 P 2.47-2.52
P (0.3332, 0.3332, 0.0000)  5 Re 2.47-2.52, 5 Be 2.47-2.52
Be (0.9973, 0.9973, 0.0000)  5 Re 2.46-2.50, 5 P 2.47-2.52

***

Entry 20:
LaPuH4 after structural relaxation, computed with GGA-PBE.

Results
Volume in A^3/atom: 13.62
D(E_F) in states/eV/atom: 1.114
Total energy in eV/atom: -5.938
Symmetry: No. 123

abc: 3.8679 3.8680 5.4619
angles: 90.00 90.00 90.00
With the nearest neighbours (Å) after each atom.
Fractional coordinates of all 6 atoms:
H (0.0013, 0.4973, 0.2638)  2 Pu 2.32, 2 La 2.42, 1 H 2.56
H (0.5013, 0.9973, 0.7325)  2 Pu 2.32, 2 La 2.42, 1 H 2.56
La (0.5013, 0.4973, 0.9981)  8 H 2.42
H (0.5013, 0.9972, 0.2638)  2 Pu 2.32, 2 La 2.42, 1 H 2.56
H (0.0013, 0.4973, 0.7324)  2 Pu 2.32, 2 La 2.42, 1 H 2.56
Pu (0.0013, 0.9973, 0.4981)  8 H 2.32